Record 1
K2Ru | PBE | relaxed

a b c (Å): 6.403 6.403 6.403
angles (deg): 60.00 60.00 60.00
Positions (direct):
K1 0.000 0.000 0.000
K2 0.000 0.000 0.500
K3 0.000 0.500 0.000
K4 0.500 0.000 0.000
Ru1 0.375 0.375 0.375
Ru2 0.625 0.625 0.625

Results
For the total magnetization, the calculation gives 3.918 μB/cell. As for the distance to the lowest polymorph of the same formula: 1018 meV per atom. The calculation puts the energy of formation at 1.63 eV per atom. The space group is Fd-3m, No. 227.


Record 2
SrZn2GeS | PBE | relaxed

a b c (Å): 4.736 4.736 5.640
angles (deg): 90.00 90.00 90.00
Positions (direct):
Sr1 0.000 0.000 0.000
Zn1 0.000 0.500 0.500
Zn2 0.500 0.000 0.500
Ge1 0.500 0.500 0.500
S1 0.500 0.500 0.000

Results
For the total magnetization, the calculation gives 0.000 μB/cell. The value obtained for the energy relative to the elements, uncorrected is -0.24 eV per atom. The space group is P4/mmm, No. 123.


Record 3
LaSmTl3 | PBE | relaxed

a b c (Å): 8.421 8.421 5.649
angles (deg): 90.00 90.00 116.41
Positions (direct):
La1 0.067 0.933 0.750
La2 0.933 0.067 0.250
Sm1 0.294 0.706 0.750
Sm2 0.706 0.294 0.250
Tl1 0.006 0.328 0.750
Tl2 0.328 0.006 0.250
Tl3 0.500 0.500 0.000
Tl4 0.500 0.500 0.500
Tl5 0.672 0.994 0.750
Tl6 0.994 0.672 0.250

Results
For the total magnetization, the calculation gives 0.000 μB/cell. The calculation puts the energy of formation at 0.12 eV per atom. The space group is Cmcm, No. 63.


Record 4
Ho3Er2Tl3 | PBE | relaxed

a b c (Å): 11.686 11.686 11.686
angles (deg): 161.56 153.56 32.43
Positions (direct):
Ho1 0.000 0.000 0.000
Ho2 0.373 0.873 0.500
Ho3 0.627 0.127 0.500
Er1 0.236 0.236 0.000
Er2 0.764 0.764 0.000
Tl1 0.120 0.620 0.500
Tl2 0.500 0.500 0.000
Tl3 0.880 0.380 0.500

Results
For the total magnetization, the calculation gives 0.000 μB/cell. The calculation puts the energy of formation at -0.26 eV per atom. The space group is Immm, No. 71.


Record 5
KScFe2Cl8 | PBE | relaxed

a b c (Å): 6.358 6.358 9.279
angles (deg): 92.98 92.98 69.35
Positions (direct):
K1 0.000 0.000 0.000
Sc1 0.000 0.000 0.500
Fe1 0.372 0.372 0.713
Fe2 0.628 0.628 0.287
Cl1 0.235 0.751 0.303
Cl2 0.239 0.239 0.506
Cl3 0.249 0.765 0.697
Cl4 0.300 0.300 0.932
Cl5 0.700 0.700 0.068
Cl6 0.751 0.235 0.303
Cl7 0.761 0.761 0.494
Cl8 0.765 0.249 0.697

Results
For the total magnetization, the calculation gives 8.000 μB/cell. The value obtained for the energy relative to the elements, uncorrected is -1.34 eV per atom. The space group is C2/m, No. 12.


Record 6
CuHgOs2 | PBE | relaxed

a b c (Å): 2.793 4.811 4.714
angles (deg): 90.00 92.05 90.00
Positions (direct):
Cu1 0.000 0.000 0.000
Hg1 0.500 0.000 0.500
Os1 0.273 0.500 0.227
Os2 0.727 0.500 0.773

Results
For the total magnetization, the calculation gives 0.000 μB/cell. The calculation puts the energy of formation at 0.74 eV per atom. The space group is P2/m, No. 10.


Record 7
CsSrZn2Co | PBE | relaxed

a b c (Å): 6.204 6.204 5.566
angles (deg): 90.00 90.00 90.00
Positions (direct):
Cs1 0.000 0.000 0.000
Sr1 0.500 0.500 0.500
Zn1 0.000 0.500 0.500
Zn2 0.500 0.000 0.500
Co1 0.500 0.500 0.000

Results
For the total magnetization, the calculation gives 1.250 μB/cell. The calculation puts the energy of formation at 0.83 eV per atom. The space group is P4/mmm, No. 123.


Record 8
CuPb2W | PBE | relaxed

a b c (Å): 4.905 4.905 4.905
angles (deg): 60.00 60.00 60.00
Positions (direct):
Cu1 0.000 0.000 0.000
Pb1 0.250 0.250 0.250
Pb2 0.750 0.750 0.750
W1 0.500 0.500 0.500

Results
For the total magnetization, the calculation gives 1.096 μB/cell. As for the distance to the lowest polymorph of the same formula: 507 meV per atom. The calculation puts the energy of formation at 1.05 eV per atom. The space group is Fm-3m, No. 225.